10
Lattice="-2.776 -0.385 4.592 -5.663 0.521 -0.229 -1.906 -6.283 1.454" Properties=species:S:1:pos:R:3 comment="LaBe2Rh2, relaxed, DFT PBE-GGA" de_polymorph_ev_per_atom=0.0000 space_group=C2/c ef_ev_per_atom=-0.592 pbc="T T T"
La -7.149 -1.517 4.211
La -3.196 -4.630 1.605
Be -4.239 -1.579 2.815
Be -8.722 -4.556 4.572
Be -1.624 -1.591 1.244
Be -6.106 -4.568 3.002
Rh -5.643 0.122 2.118
Rh -4.461 -3.376 4.106
Rh -4.702 -6.269 3.698
Rh -5.884 -2.771 1.710